No. 1
# KCa4Al (PBE-GGA, optimized geometry)
# SG: F-43m (216)
# Formation energy: 0.378 eV/atom
# Total magnetic moment: 0.0 μB/cell
# E_tot: -1.763 eV per atom
data_KCa4Al
_chemical_formula_sum 'K1 Ca4 Al1'
_cell_length_a 7.088
_cell_length_b 7.088
_cell_length_c 7.088
_cell_angle_alpha 60.00
_cell_angle_beta 60.00
_cell_angle_gamma 60.00
_symmetry_space_group_name_H-M 'P 1'
_symmetry_Int_Tables_number 1
loop_
_symmetry_equiv_pos_as_xyz
'x,y,z'
loop_
_atom_site_label
_atom_site_type_symbol
_atom_site_fract_x
_atom_site_fract_y
_atom_site_fract_z
K1 K 0.750 0.750 0.750
Ca1 Ca 0.879 0.374 0.374
Ca2 Ca 0.374 0.374 0.879
Ca3 Ca 0.374 0.879 0.374
Ca4 Ca 0.374 0.374 0.374
Al1 Al 0.000 0.000 0.000

=====

No. 2
# K2CaLaAl (PBE-GGA, optimized geometry)
# SG: P4/mmm (123)
# Formation energy: 1.074 eV/atom
# Total magnetic moment: 1.9 μB/cell
# E_tot: -1.499 eV per atom
data_K2CaLaAl
_chemical_formula_sum 'K2 Ca1 La1 Al1'
_cell_length_a 6.500
_cell_length_b 6.476
_cell_length_c 6.500
_cell_angle_alpha 90.00
_cell_angle_beta 90.00
_cell_angle_gamma 90.00
_symmetry_space_group_name_H-M 'P 1'
_symmetry_Int_Tables_number 1
loop_
_symmetry_equiv_pos_as_xyz
'x,y,z'
loop_
_atom_site_label
_atom_site_type_symbol
_atom_site_fract_x
_atom_site_fract_y
_atom_site_fract_z
Ca1 Ca 0.000 0.000 0.000
Al1 Al 0.500 0.500 0.500
K1 K 0.000 0.000 0.500
K2 K 0.500 0.000 0.000
La1 La 0.000 0.500 0.000

=====

No. 3
# KCa3Mg3AlSi8O24 (PBE-GGA, optimized geometry)
# SG: P2 (3)
# Total magnetic moment: 0.0 μB/cell
# E_tot: -7.316 eV per atom
data_KCa3Mg3AlSi8O24
_chemical_formula_sum 'K1 Ca3 Mg3 Al1 Si8 O24'
_cell_length_a 5.334
_cell_length_b 9.015
_cell_length_c 9.749
_cell_angle_alpha 90.00
_cell_angle_beta 105.24
_cell_angle_gamma 90.00
_symmetry_space_group_name_H-M 'P 1'
_symmetry_Int_Tables_number 1
loop_
_symmetry_equiv_pos_as_xyz
'x,y,z'
loop_
_atom_site_label
_atom_site_type_symbol
_atom_site_fract_x
_atom_site_fract_y
_atom_site_fract_z
K1 K 0.500 0.807 0.500
Ca1 Ca 0.000 0.298 0.000
Ca2 Ca 0.000 0.198 0.500
Ca3 Ca 0.500 0.699 0.000
Mg1 Mg 0.500 0.408 0.500
Mg2 Mg 0.000 0.906 0.000
Mg3 Mg 0.500 0.090 0.000
Al1 Al 0.000 0.598 0.500
Si1 Si 0.315 0.091 0.286
Si2 Si 0.815 0.593 0.783
Si3 Si 0.685 0.091 0.714
Si4 Si 0.185 0.593 0.217
Si5 Si 0.183 0.903 0.713
Si6 Si 0.694 0.411 0.215
Si7 Si 0.817 0.903 0.287
Si8 Si 0.306 0.411 0.785
O1 O 0.612 0.017 0.345
O2 O 0.110 0.519 0.856
O3 O 0.388 0.017 0.655
O4 O 0.890 0.519 0.144
O5 O 0.899 0.990 0.652
O6 O 0.395 0.484 0.156
O7 O 0.101 0.990 0.348
O8 O 0.605 0.484 0.844
O9 O 0.225 0.088 0.114
O10 O 0.752 0.573 0.611
O11 O 0.775 0.088 0.886
O12 O 0.248 0.573 0.389
O13 O 0.274 0.907 0.885
O14 O 0.788 0.426 0.388
O15 O 0.726 0.907 0.115
O16 O 0.212 0.426 0.612
O17 O 0.306 0.248 0.364
O18 O 0.789 0.749 0.856
O19 O 0.694 0.248 0.636
O20 O 0.211 0.749 0.144
O21 O 0.169 0.743 0.638
O22 O 0.707 0.253 0.141
O23 O 0.831 0.743 0.362
O24 O 0.293 0.253 0.859

=====

No. 4
# KNaCa2Al (PBE-GGA, optimized geometry)
# SG: P4/mmm (123)
# Formation energy: 0.150 eV/atom
# Total magnetic moment: 0.0 μB/cell
# E_tot: -1.883 eV per atom
data_KNaCa2Al
_chemical_formula_sum 'K1 Na1 Ca2 Al1'
_cell_length_a 6.054
_cell_length_b 6.108
_cell_length_c 6.054
_cell_angle_alpha 90.00
_cell_angle_beta 90.00
_cell_angle_gamma 90.00
_symmetry_space_group_name_H-M 'P 1'
_symmetry_Int_Tables_number 1
loop_
_symmetry_equiv_pos_as_xyz
'x,y,z'
loop_
_atom_site_label
_atom_site_type_symbol
_atom_site_fract_x
_atom_site_fract_y
_atom_site_fract_z
Na1 Na 0.000 0.500 0.000
Ca1 Ca 0.000 0.000 0.500
Ca2 Ca 0.500 0.000 0.000
K1 K 0.500 0.500 0.500
Al1 Al 0.000 0.000 0.000

=====

No. 5
# KCaAl2Ni (PBE-GGA, optimized geometry)
# SG: P4/mmm (123)
# Formation energy: 1.732 eV/atom
# Total magnetic moment: 0.0 μB/cell
# E_tot: -1.541 eV per atom
data_KCaAl2Ni
_chemical_formula_sum 'K1 Ca1 Al2 Ni1'
_cell_length_a 5.456
_cell_length_b 5.750
_cell_length_c 5.456
_cell_angle_alpha 90.00
_cell_angle_beta 90.00
_cell_angle_gamma 90.00
_symmetry_space_group_name_H-M 'P 1'
_symmetry_Int_Tables_number 1
loop_
_symmetry_equiv_pos_as_xyz
'x,y,z'
loop_
_atom_site_label
_atom_site_type_symbol
_atom_site_fract_x
_atom_site_fract_y
_atom_site_fract_z
Ni1 Ni 0.500 0.500 0.500
Ca1 Ca 0.000 0.500 0.000
K1 K 0.000 0.000 0.000
Al1 Al 0.000 0.000 0.500
Al2 Al 0.500 0.000 0.000

=====

No. 6
# KCaAlO3 (PBE-GGA, optimized geometry)
# SG: C2/m (12)
# Total magnetic moment: 0.0 μB/cell
# E_tot: -5.967 eV per atom
data_KCaAlO3
_chemical_formula_sum 'K2 Ca2 Al2 O6'
_cell_length_a 3.750
_cell_length_b 6.785
_cell_length_c 7.381
_cell_angle_alpha 104.61
_cell_angle_beta 90.00
_cell_angle_gamma 106.04
_symmetry_space_group_name_H-M 'P 1'
_symmetry_Int_Tables_number 1
loop_
_symmetry_equiv_pos_as_xyz
'x,y,z'
loop_
_atom_site_label
_atom_site_type_symbol
_atom_site_fract_x
_atom_site_fract_y
_atom_site_fract_z
K1 K 0.344 0.689 0.930
K2 K 0.656 0.311 0.070
Ca1 Ca 0.658 0.317 0.580
Ca2 Ca 0.342 0.683 0.420
Al1 Al 0.009 0.018 0.288
Al2 Al 0.991 0.982 0.712
O1 O 0.866 0.731 0.226
O2 O 0.846 0.692 0.647
O3 O 0.509 0.019 0.300
O4 O 0.154 0.308 0.353
O5 O 0.491 0.981 0.700
O6 O 0.134 0.269 0.774

=====

No. 7
# KCa2AlPd (PBE-GGA, optimized geometry)
# SG: P4/mmm (123)
# Formation energy: 0.514 eV/atom
# Total magnetic moment: 0.0 μB/cell
# E_tot: -2.293 eV per atom
# Energy relative to the lowest polymorph listed for this composition: 751 meV/atom
data_KCa2AlPd
_chemical_formula_sum 'K1 Ca2 Al1 Pd1'
_cell_length_a 5.821
_cell_length_b 5.901
_cell_length_c 5.821
_cell_angle_alpha 90.00
_cell_angle_beta 90.00
_cell_angle_gamma 90.00
_symmetry_space_group_name_H-M 'P 1'
_symmetry_Int_Tables_number 1
loop_
_symmetry_equiv_pos_as_xyz
'x,y,z'
loop_
_atom_site_label
_atom_site_type_symbol
_atom_site_fract_x
_atom_site_fract_y
_atom_site_fract_z
Ca1 Ca 0.000 0.000 0.500
Ca2 Ca 0.500 0.000 0.000
K1 K 0.000 0.500 0.000
Pd1 Pd 0.500 0.500 0.500
Al1 Al 0.000 0.000 0.000

=====

No. 8
# KCa2AlPd (PBE-GGA, optimized geometry)
# SG: P4/mmm (123)
# Formation energy: -0.237 eV/atom
# Total magnetic moment: 0.0 μB/cell
# E_tot: -3.044 eV per atom
# Energy relative to the lowest polymorph listed for this composition: 0 meV/atom
data_KCa2AlPd
_chemical_formula_sum 'K1 Ca2 Al1 Pd1'
_cell_length_a 5.719
_cell_length_b 5.719
_cell_length_c 4.962
_cell_angle_alpha 90.00
_cell_angle_beta 90.00
_cell_angle_gamma 90.00
_symmetry_space_group_name_H-M 'P 1'
_symmetry_Int_Tables_number 1
loop_
_symmetry_equiv_pos_as_xyz
'x,y,z'
loop_
_atom_site_label
_atom_site_type_symbol
_atom_site_fract_x
_atom_site_fract_y
_atom_site_fract_z
Ca1 Ca 0.000 0.500 0.000
Ca2 Ca 0.500 0.000 0.000
K1 K 0.500 0.500 0.500
Pd1 Pd 0.000 0.000 0.000
Al1 Al 0.000 0.000 0.500

=====

No. 9
# KCa2AlS4 (PBE-GGA, optimized geometry)
# SG: Imma (74)
# Total magnetic moment: 0.0 μB/cell
# E_tot: -4.595 eV per atom
data_KCa2AlS4
_chemical_formula_sum 'K2 Ca4 Al2 S8'
_cell_length_a 8.051
_cell_length_b 8.051
_cell_length_c 7.943
_cell_angle_alpha 119.54
_cell_angle_beta 119.54
_cell_angle_gamma 90.13
_symmetry_space_group_name_H-M 'P 1'
_symmetry_Int_Tables_number 1
loop_
_symmetry_equiv_pos_as_xyz
'x,y,z'
loop_
_atom_site_label
_atom_site_type_symbol
_atom_site_fract_x
_atom_site_fract_y
_atom_site_fract_z
K1 K 0.000 0.500 0.000
K2 K 0.000 0.500 0.500
Ca1 Ca 0.500 0.000 0.000
Ca2 Ca 0.500 0.000 0.500
Ca3 Ca 0.000 0.000 0.500
Ca4 Ca 0.500 0.500 0.000
Al1 Al 0.500 0.500 0.500
Al2 Al 0.000 0.000 0.000
S1 S 0.218 0.814 0.016
S2 S 0.686 0.282 0.484
S3 S 0.314 0.718 0.516
S4 S 0.782 0.186 0.984
S5 S 0.743 0.757 0.999
S6 S 0.743 0.757 0.501
S7 S 0.257 0.243 0.499
S8 S 0.257 0.243 0.001

=====

No. 10
# KCaAlS3 (PBE-GGA, optimized geometry)
# SG: C2/m (12)
# Total magnetic moment: 0.0 μB/cell
# E_tot: -4.474 eV per atom
data_KCaAlS3
_chemical_formula_sum 'K2 Ca2 Al2 S6'
_cell_length_a 4.771
_cell_length_b 8.093
_cell_length_c 8.369
_cell_angle_alpha 103.91
_cell_angle_beta 90.00
_cell_angle_gamma 107.14
_symmetry_space_group_name_H-M 'P 1'
_symmetry_Int_Tables_number 1
loop_
_symmetry_equiv_pos_as_xyz
'x,y,z'
loop_
_atom_site_label
_atom_site_type_symbol
_atom_site_fract_x
_atom_site_fract_y
_atom_site_fract_z
K1 K 0.348 0.697 0.935
K2 K 0.652 0.303 0.065
Ca1 Ca 0.649 0.297 0.571
Ca2 Ca 0.351 0.703 0.429
Al1 Al 0.010 0.020 0.279
Al2 Al 0.990 0.980 0.721
S1 S 0.860 0.719 0.223
S2 S 0.839 0.678 0.656
S3 S 0.504 0.008 0.282
S4 S 0.161 0.322 0.344
S5 S 0.496 0.992 0.718
S6 S 0.140 0.281 0.777

=====

No. 11
# KCaAl2Sb (PBE-GGA, optimized geometry)
# SG: P4/mmm (123)
# Total magnetic moment: 0.0 μB/cell
# E_tot: -2.479 eV per atom
data_KCaAl2Sb
_chemical_formula_sum 'K1 Ca1 Al2 Sb1'
_cell_length_a 5.789
_cell_length_b 5.823
_cell_length_c 5.789
_cell_angle_alpha 90.00
_cell_angle_beta 90.00
_cell_angle_gamma 90.00
_symmetry_space_group_name_H-M 'P 1'
_symmetry_Int_Tables_number 1
loop_
_symmetry_equiv_pos_as_xyz
'x,y,z'
loop_
_atom_site_label
_atom_site_type_symbol
_atom_site_fract_x
_atom_site_fract_y
_atom_site_fract_z
Sb1 Sb 0.000 0.500 0.000
Ca1 Ca 0.000 0.000 0.000
K1 K 0.500 0.500 0.500
Al1 Al 0.000 0.000 0.500
Al2 Al 0.500 0.000 0.000

=====

No. 12
# K2CaAlSb2 (PBE-GGA, optimized geometry)
# SG: Ibam (72)
# Total magnetic moment: 0.0 μB/cell
# E_tot: -3.189 eV per atom
data_K2CaAlSb2
_chemical_formula_sum 'K4 Ca2 Al2 Sb4'
_cell_length_a 7.086
_cell_length_b 7.271
_cell_length_c 9.689
_cell_angle_alpha 112.04
_cell_angle_beta 111.45
_cell_angle_gamma 90.00
_symmetry_space_group_name_H-M 'P 1'
_symmetry_Int_Tables_number 1
loop_
_symmetry_equiv_pos_as_xyz
'x,y,z'
loop_
_atom_site_label
_atom_site_type_symbol
_atom_site_fract_x
_atom_site_fract_y
_atom_site_fract_z
K1 K 0.439 0.179 0.359
K2 K 0.561 0.821 0.641
K3 K 0.080 0.321 0.641
K4 K 0.920 0.679 0.359
Ca1 Ca 0.000 0.750 0.000
Ca2 Ca 0.000 0.250 0.000
Al1 Al 0.500 0.750 0.000
Al2 Al 0.500 0.250 0.000
Sb1 Sb 0.820 0.099 0.197
Sb2 Sb 0.377 0.599 0.197
Sb3 Sb 0.623 0.401 0.803
Sb4 Sb 0.180 0.901 0.803